Here is Cr3Pd7 after structural relaxation from the Alexandria database. Energies are from GGA-PBE.

Lattice parameters (Å, degrees): 14.106 3.968 5.495 90.00 103.62 90.00
Space group C2/m (No. 12)
Unique sites:
Cr 0.000 0.000 0.000 x2
Cr 0.195 0.000 0.618 x4
Pd 0.000 0.000 0.500 x2
Pd 0.097 0.500 0.817 x4
Pd 0.108 0.500 0.325 x4
Pd 0.204 0.000 0.121 x4

Properties
Theoretical density (kg/m³): 10009
Formation energy (meV per atom): -47.2
Final energy (eV/atom): -6.569